The following is a meta-GGA SCAN calculation of a crystal of Sb2Os relaxed with PBEsol, from Alexandria via LeMat-Bulk.

```
data_Sb2Os
_space_group_name_H-M_alt 'P -6 2 m'
_space_group_IT_number 189
_space_group_name_Hall 'P -6 -2'
_cell_length_a 7.3578
_cell_length_b 7.3578
_cell_length_c 3.8332
_cell_angle_alpha 90.00
_cell_angle_beta 90.00
_cell_angle_gamma 120.00
loop_
_atom_site_label
_atom_site_type_symbol
_atom_site_fract_x
_atom_site_fract_y
_atom_site_fract_z
Sb1 Sb 0.0000 0.2643 0.0000
Sb2 Sb 0.0000 0.5975 0.5000
Os1 Os 0.0000 0.0000 0.5000
Os2 Os 0.3333 0.6667 0.0000
```

## Properties
For the uncorrected formation energy, the calculation gives 0.41 eV/atom. Its density is 12.02 g cm⁻³. The calculation puts the total moment at 0.00 Bohr magnetons per cell. Its total energy is -48.39 eV per atom.